[1]
# CrInAu2

CrInAu2 after structural relaxation (PBE, Alexandria via LeMat-Bulk).

abc: 3.2345 3.2345 25.7043
angles: 90.00 90.00 120.00
Positions (direct):
Cr1 0.0000 0.0000 0.0000
Cr2 0.3333 0.6667 0.6667
Cr3 0.6667 0.3333 0.3333
In1 0.0000 0.0000 0.7529
In2 0.3333 0.6667 0.4196
In3 0.6667 0.3333 0.0863
Au1 0.0000 0.0000 0.2576
Au2 0.0000 0.0000 0.5045
Au3 0.3333 0.6667 0.1712
Au4 0.3333 0.6667 0.9243
Au5 0.6667 0.3333 0.5910
Au6 0.6667 0.3333 0.8379

Output
formation enthalpy at 0 K: 0.22 eV/atom
space-group type: R3m (160)

=====

[2]
# CrInAu6

CrInAu6 after structural relaxation (PBE, Alexandria via LeMat-Bulk).

abc: 4.1945 4.1945 8.2932
angles: 90.00 90.00 90.00
Positions (direct):
Cr1 0.0000 0.0000 0.0000
In1 0.0000 0.0000 0.5000
Au1 0.0000 0.5000 0.2415
Au2 0.0000 0.5000 0.7585
Au3 0.5000 0.0000 0.2415
Au4 0.5000 0.0000 0.7585
Au5 0.5000 0.5000 0.0000
Au6 0.5000 0.5000 0.5000

Output
formation enthalpy at 0 K: -0.01 eV/atom
space-group type: P4/mmm (123)

=====

[3]
# CrInAu2

CrInAu2 after structural relaxation (PBE, Alexandria via LeMat-Bulk).

abc: 9.5011 4.1106 4.1906
angles: 90.00 116.07 90.00
Positions (direct):
Cr1 0.0000 0.0000 0.0000
Cr2 0.5000 0.5000 0.0000
In1 0.2500 0.5000 0.2499
In2 0.7500 0.0000 0.2499
Au1 0.0000 0.5000 0.5004
Au2 0.2504 0.0000 0.7508
Au3 0.5000 0.0000 0.5004
Au4 0.7504 0.5000 0.7508

Output
formation enthalpy at 0 K: 0.02 eV/atom
space-group type: Cm (8)